(1)
# Ca2CuAs3Pt4 PBE-GGA optimized geometry
data_Ca2CuAs3Pt4
_space_group_name_H-M_alt 'P 1'
_space_group_IT_number 1
_cell_length_a 4.4063
_cell_length_b 4.4063
_cell_length_c 9.8928
_cell_angle_alpha 90.00
_cell_angle_beta 90.00
_cell_angle_gamma 90.00
loop_
_space_group_symop_operation_xyz
'x,y,z'
loop_
_atom_site_label
_atom_site_type_symbol
_atom_site_fract_x
_atom_site_fract_y
_atom_site_fract_z
Ca1 Ca 0.5000 0.0000 0.2561
Ca2 Ca 0.0000 0.5000 0.7439
Cu1 Cu 0.5000 0.5000 0.5000
As1 As 0.0000 0.0000 0.5000
As2 As 0.5000 0.0000 0.8687
As3 As 0.0000 0.5000 0.1313
Pt1 Pt 0.5000 0.5000 0.0000
Pt2 Pt 0.0000 0.0000 0.0000
Pt3 Pt 0.5000 0.0000 0.6232
Pt4 Pt 0.0000 0.5000 0.3768
# - crystal system = tetragonal
# - ΔE_f (eV per atom) = -0.6925

(2)
# Tb3ErSb2 PBE-GGA optimized geometry
data_Tb3ErSb2
_space_group_name_H-M_alt 'P 1'
_space_group_IT_number 1
_cell_length_a 6.9843
_cell_length_b 7.6519
_cell_length_c 8.8642
_cell_angle_alpha 115.57
_cell_angle_beta 113.20
_cell_angle_gamma 90.00
loop_
_space_group_symop_operation_xyz
'x,y,z'
loop_
_atom_site_label
_atom_site_type_symbol
_atom_site_fract_x
_atom_site_fract_y
_atom_site_fract_z
Tb1 Tb 0.5000 0.2500 0.0000
Tb2 Tb 0.5000 0.7500 0.0000
Tb3 Tb 0.7933 0.0433 0.5866
Tb4 Tb 0.2067 0.4567 0.4134
Tb5 Tb 0.2067 0.9567 0.4134
Tb6 Tb 0.7933 0.5433 0.5866
Er1 Er 0.0000 0.5000 0.0000
Er2 Er 0.0000 0.0000 0.0000
Sb1 Sb 0.5276 0.3534 0.7069
Sb2 Sb 0.8207 0.1466 0.2931
Sb3 Sb 0.1793 0.8534 0.7069
Sb4 Sb 0.4724 0.6466 0.2931
# - energy relative to the lowest polymorph listed for this composition (meV/atom) = 238
# - crystal system = orthorhombic

(3)
# HfCuGe PBE-GGA optimized geometry
data_HfCuGe
_space_group_name_H-M_alt 'P 1'
_space_group_IT_number 1
_cell_length_a 3.3409
_cell_length_b 4.1017
_cell_length_c 4.1017
_cell_angle_alpha 120.00
_cell_angle_beta 90.00
_cell_angle_gamma 90.00
loop_
_space_group_symop_operation_xyz
'x,y,z'
loop_
_atom_site_label
_atom_site_type_symbol
_atom_site_fract_x
_atom_site_fract_y
_atom_site_fract_z
Ge1 Ge 0.1669 0.0000 0.0000
Hf1 Hf 0.6668 0.3333 0.6667
Cu1 Cu 0.1662 0.6667 0.3333
# - crystal system = hexagonal
# - ΔE_f (eV per atom) = -0.4253

(4)
# Mo3AuS PBE-GGA optimized geometry
data_Mo3AuS
_space_group_name_H-M_alt 'P 1'
_space_group_IT_number 1
_cell_length_a 4.4198
_cell_length_b 4.4198
_cell_length_c 4.4198
_cell_angle_alpha 90.00
_cell_angle_beta 90.00
_cell_angle_gamma 90.00
loop_
_space_group_symop_operation_xyz
'x,y,z'
loop_
_atom_site_label
_atom_site_type_symbol
_atom_site_fract_x
_atom_site_fract_y
_atom_site_fract_z
Mo1 Mo 0.0000 0.5000 0.0000
Mo2 Mo 0.0000 0.0000 0.5000
Mo3 Mo 0.5000 0.0000 0.0000
Au1 Au 0.5000 0.5000 0.5000
S1 S 0.0000 0.0000 0.0000
# - energy relative to the lowest polymorph listed for this composition (meV/atom) = 0
# - crystal system = cubic

(5)
# Ca12N5Cl3 PBE-GGA optimized geometry
data_Ca12N5Cl3
_space_group_name_H-M_alt 'P 1'
_space_group_IT_number 1
_cell_length_a 13.7714
_cell_length_b 13.7714
_cell_length_c 13.7714
_cell_angle_alpha 109.47
_cell_angle_beta 109.47
_cell_angle_gamma 109.47
loop_
_space_group_symop_operation_xyz
'x,y,z'
loop_
_atom_site_label
_atom_site_type_symbol
_atom_site_fract_x
_atom_site_fract_y
_atom_site_fract_z
Cl1 Cl 0.7500 0.3750 0.1250
Cl2 Cl 0.8750 0.7500 0.1250
Cl3 Cl 0.3750 0.7500 0.6250
Cl4 Cl 0.2500 0.1250 0.3750
Cl5 Cl 0.8750 0.1250 0.2500
Cl6 Cl 0.3750 0.6250 0.2500
Cl7 Cl 0.6250 0.3750 0.7500
Cl8 Cl 0.1250 0.8750 0.7500
Cl9 Cl 0.7500 0.8750 0.6250
Cl10 Cl 0.6250 0.2500 0.3750
Cl11 Cl 0.1250 0.2500 0.8750
Cl12 Cl 0.2500 0.6250 0.8750
N1 N 0.1250 0.3750 0.2500
N2 N 0.0000 0.5000 0.0000
N3 N 0.0000 0.0000 0.0000
N4 N 0.3750 0.2500 0.1250
N5 N 0.5000 0.0000 0.5000
N6 N 0.5000 0.5000 0.0000
N7 N 0.1250 0.7500 0.3750
N8 N 0.7500 0.1250 0.8750
N9 N 0.7500 0.6250 0.3750
N10 N 0.3750 0.1250 0.7500
N11 N 0.6250 0.8750 0.2500
N12 N 0.5000 0.5000 0.5000
N13 N 0.5000 0.0000 0.0000
N14 N 0.0000 0.0000 0.5000
N15 N 0.2500 0.3750 0.6250
N16 N 0.2500 0.8750 0.1250
N17 N 0.0000 0.5000 0.5000
N18 N 0.8750 0.2500 0.6250
N19 N 0.6250 0.7500 0.8750
N20 N 0.8750 0.6250 0.7500
Ca1 Ca 0.6903 0.1135 0.0059
Ca2 Ca 0.3156 0.5059 0.3925
Ca3 Ca 0.9941 0.3865 0.3097
Ca4 Ca 0.5059 0.1903 0.1135
Ca5 Ca 0.5768 0.6903 0.6844
Ca6 Ca 0.9941 0.6075 0.1844
Ca7 Ca 0.3156 0.8097 0.4232
Ca8 Ca 0.1075 0.9232 0.1135
Ca9 Ca 0.6075 0.9941 0.6844
Ca10 Ca 0.6903 0.5768 0.1844
Ca11 Ca 0.8097 0.4941 0.3865
Ca12 Ca 0.8156 0.8925 0.0059
Ca13 Ca 0.1135 0.6903 0.5059
Ca14 Ca 0.3865 0.3925 0.0768
Ca15 Ca 0.0768 0.8925 0.3865
Ca16 Ca 0.4232 0.1135 0.6075
Ca17 Ca 0.0768 0.1844 0.1903
Ca18 Ca 0.4941 0.6844 0.1075
Ca19 Ca 0.8156 0.9232 0.3097
Ca20 Ca 0.1135 0.4232 0.1075
Ca21 Ca 0.3865 0.9941 0.8097
Ca22 Ca 0.6075 0.6135 0.4232
Ca23 Ca 0.8925 0.8156 0.5059
Ca24 Ca 0.8097 0.3156 0.9232
Ca25 Ca 0.3925 0.3865 0.5768
Ca26 Ca 0.1075 0.1844 0.4941
Ca27 Ca 0.1903 0.6844 0.0768
Ca28 Ca 0.1844 0.0768 0.6903
Ca29 Ca 0.6135 0.0059 0.1903
Ca30 Ca 0.8865 0.5768 0.8925
Ca31 Ca 0.5059 0.3156 0.8925
Ca32 Ca 0.5768 0.8865 0.3925
Ca33 Ca 0.9232 0.8156 0.8097
Ca34 Ca 0.9232 0.1075 0.6135
Ca35 Ca 0.8865 0.3097 0.4941
Ca36 Ca 0.1844 0.1075 0.9941
Ca37 Ca 0.6135 0.6075 0.9232
Ca38 Ca 0.3925 0.0059 0.3156
Ca39 Ca 0.3097 0.4232 0.8156
Ca40 Ca 0.1903 0.5059 0.6135
Ca41 Ca 0.8925 0.0768 0.8865
Ca42 Ca 0.6844 0.1903 0.5768
Ca43 Ca 0.4941 0.8097 0.8865
Ca44 Ca 0.0059 0.3925 0.8156
Ca45 Ca 0.4232 0.3097 0.3156
Ca46 Ca 0.0059 0.6135 0.6903
Ca47 Ca 0.6844 0.4941 0.6075
Ca48 Ca 0.3097 0.8865 0.9941
# - crystal system = cubic
# - DFT total energy (eV/atom) = -4.387

(6)
# SnSb2CN PBE-GGA optimized geometry
data_SnSb2CN
_space_group_name_H-M_alt 'P 1'
_space_group_IT_number 1
_cell_length_a 6.6382
_cell_length_b 2.6505
_cell_length_c 6.6382
_cell_angle_alpha 90.00
_cell_angle_beta 90.00
_cell_angle_gamma 90.00
loop_
_space_group_symop_operation_xyz
'x,y,z'
loop_
_atom_site_label
_atom_site_type_symbol
_atom_site_fract_x
_atom_site_fract_y
_atom_site_fract_z
Sb1 Sb 0.0000 0.0000 0.5000
Sb2 Sb 0.5000 0.0000 0.0000
C1 C 0.0000 0.5000 0.0000
Sn1 Sn 0.5000 0.5000 0.5000
N1 N 0.0000 0.0000 0.0000
# - crystal system = tetragonal
# - DFT total energy (eV/atom) = -4.887

(7)
# Ca2AgP PBE-GGA optimized geometry
data_Ca2AgP
_space_group_name_H-M_alt 'P 1'
_space_group_IT_number 1
_cell_length_a 7.7482
_cell_length_b 7.7482
_cell_length_c 7.7482
_cell_angle_alpha 152.38
_cell_angle_beta 149.35
_cell_angle_gamma 41.73
loop_
_space_group_symop_operation_xyz
'x,y,z'
loop_
_atom_site_label
_atom_site_type_symbol
_atom_site_fract_x
_atom_site_fract_y
_atom_site_fract_z
Ag1 Ag 0.3022 0.8022 0.5000
Ca1 Ca 0.9758 0.9758 0.0000
Ca2 Ca 0.6857 0.1857 0.5000
P1 P 0.5363 0.5363 0.0000
# - crystal system = orthorhombic
# - ΔE_f (eV per atom) = -0.5331

(8)
# ZnBr2 PBE-GGA optimized geometry
data_ZnBr2
_space_group_name_H-M_alt 'P 1'
_space_group_IT_number 1
_cell_length_a 12.4276
_cell_length_b 12.4276
_cell_length_c 13.9193
_cell_angle_alpha 116.51
_cell_angle_beta 116.51
_cell_angle_gamma 90.00
loop_
_space_group_symop_operation_xyz
'x,y,z'
loop_
_atom_site_label
_atom_site_type_symbol
_atom_site_fract_x
_atom_site_fract_y
_atom_site_fract_z
Zn1 Zn 0.0291 0.0622 0.8731
Zn2 Zn 0.5610 0.0940 0.3731
Zn3 Zn 0.3440 0.5622 0.8731
Zn4 Zn 0.0610 0.7791 0.3731
Zn5 Zn 0.7209 0.4390 0.6269
Zn6 Zn 0.6890 0.6560 0.1269
Zn7 Zn 0.9060 0.1878 0.6269
Zn8 Zn 0.4378 0.4709 0.1269
Zn9 Zn 0.8440 0.8110 0.8731
Zn10 Zn 0.8122 0.2791 0.3731
Zn11 Zn 0.2209 0.6878 0.6269
Zn12 Zn 0.9378 0.1560 0.1269
Zn13 Zn 0.1890 0.9709 0.1269
Zn14 Zn 0.4060 0.9390 0.6269
Zn15 Zn 0.3122 0.5940 0.3731
Zn16 Zn 0.5291 0.3110 0.8731
Br1 Br 0.1729 0.6250 0.7500
Br2 Br 0.7275 0.4673 0.9988
Br3 Br 0.2814 0.5212 0.4988
Br4 Br 0.3675 0.3675 0.7350
Br5 Br 0.2712 0.5314 0.9988
Br6 Br 0.5225 0.2827 0.5012
Br7 Br 0.4686 0.2725 0.0012
Br8 Br 0.8675 0.8675 0.7350
Br9 Br 0.9686 0.2288 0.0012
Br10 Br 0.7173 0.0212 0.4988
Br11 Br 0.8825 0.3825 0.7650
Br12 Br 0.8750 0.3271 0.2500
Br13 Br 0.2275 0.0314 0.9988
Br14 Br 0.6729 0.6250 0.7500
Br15 Br 0.3825 0.8825 0.7650
Br16 Br 0.3750 0.9229 0.2500
Br17 Br 0.3750 0.4229 0.2500
Br18 Br 0.0771 0.1250 0.7500
Br19 Br 0.5327 0.7288 0.0012
Br20 Br 0.7712 0.9673 0.9988
Br21 Br 0.6175 0.1175 0.2350
Br22 Br 0.2173 0.9775 0.4988
Br23 Br 0.0225 0.7186 0.5012
Br24 Br 0.4788 0.7827 0.5012
Br25 Br 0.1175 0.6175 0.2350
Br26 Br 0.7814 0.4775 0.4988
Br27 Br 0.5771 0.1250 0.7500
Br28 Br 0.1325 0.1325 0.2650
Br29 Br 0.9788 0.2186 0.5012
Br30 Br 0.8750 0.8271 0.2500
Br31 Br 0.6325 0.6325 0.2650
Br32 Br 0.0327 0.7725 0.0012
# - crystal system = tetragonal
# - DFT total energy (eV/atom) = -2.427

(9)
# K5Re PBE-GGA optimized geometry
data_K5Re
_space_group_name_H-M_alt 'P 1'
_space_group_IT_number 1
_cell_length_a 11.8289
_cell_length_b 11.8289
_cell_length_c 6.5371
_cell_angle_alpha 90.00
_cell_angle_beta 90.00
_cell_angle_gamma 159.73
loop_
_space_group_symop_operation_xyz
'x,y,z'
loop_
_atom_site_label
_atom_site_type_symbol
_atom_site_fract_x
_atom_site_fract_y
_atom_site_fract_z
K1 K 0.0194 0.9806 0.0000
K2 K 0.3412 0.6588 0.0000
K3 K 0.6536 0.3464 0.0000
K4 K 0.4758 0.5242 0.5000
K5 K 0.7377 0.2623 0.5000
Re1 Re 0.1056 0.8944 0.5000
# - energy relative to the lowest polymorph listed for this composition (meV/atom) = 1
# - crystal system = orthorhombic
# - ΔE_f (eV per atom) = 1.0191

(10)
# Pm6Tl2O PBE-GGA optimized geometry
data_Pm6Tl2O
_space_group_name_H-M_alt 'P 1'
_space_group_IT_number 1
_cell_length_a 3.6058
_cell_length_b 9.6670
_cell_length_c 8.9371
_cell_angle_alpha 122.74
_cell_angle_beta 90.00
_cell_angle_gamma 90.00
loop_
_space_group_symop_operation_xyz
'x,y,z'
loop_
_atom_site_label
_atom_site_type_symbol
_atom_site_fract_x
_atom_site_fract_y
_atom_site_fract_z
Pm1 Pm 0.5000 0.6146 0.0000
Pm2 Pm 0.5000 0.4298 0.4755
Pm3 Pm 0.5000 0.9542 0.5245
Pm4 Pm 0.0000 0.2151 0.0000
Pm5 Pm 0.0000 0.7949 0.7670
Pm6 Pm 0.0000 0.0279 0.2330
Tl1 Tl 0.0000 0.2909 0.6853
Tl2 Tl 0.0000 0.6056 0.3147
O1 O 0.5000 0.0670 0.0000
# - energy relative to the lowest polymorph listed for this composition (meV/atom) = 190
# - crystal system = orthorhombic

(11)
# Ti2Nb3Hg2 PBE-GGA optimized geometry
data_Ti2Nb3Hg2
_space_group_name_H-M_alt 'P 1'
_space_group_IT_number 1
_cell_length_a 3.3553
_cell_length_b 3.2753
_cell_length_c 12.4530
_cell_angle_alpha 90.00
_cell_angle_beta 97.74
_cell_angle_gamma 90.00
loop_
_space_group_symop_operation_xyz
'x,y,z'
loop_
_atom_site_label
_atom_site_type_symbol
_atom_site_fract_x
_atom_site_fract_y
_atom_site_fract_z
Ti1 Ti 0.1281 0.0000 0.2561
Ti2 Ti 0.8719 0.0000 0.7439
Nb1 Nb 0.4330 0.5000 0.8660
Nb2 Nb 0.5670 0.5000 0.1340
Nb3 Nb 0.0000 0.0000 0.0000
Hg1 Hg 0.2991 0.5000 0.5982
Hg2 Hg 0.7009 0.5000 0.4018
# - crystal system = orthorhombic
# - ΔE_f (eV per atom) = -0.0096

(12)
# Ca2BSe PBE-GGA optimized geometry
data_Ca2BSe
_space_group_name_H-M_alt 'P 1'
_space_group_IT_number 1
_cell_length_a 3.5828
_cell_length_b 4.8829
_cell_length_c 4.8829
_cell_angle_alpha 90.00
_cell_angle_beta 90.00
_cell_angle_gamma 90.00
loop_
_space_group_symop_operation_xyz
'x,y,z'
loop_
_atom_site_label
_atom_site_type_symbol
_atom_site_fract_x
_atom_site_fract_y
_atom_site_fract_z
Ca1 Ca 0.0000 0.0000 0.5000
Ca2 Ca 0.0000 0.5000 0.0000
B1 B 0.5000 0.0000 0.0000
Se1 Se 0.5000 0.5000 0.5000
# - energy relative to the lowest polymorph listed for this composition (meV/atom) = 0
# - crystal system = tetragonal